(1)
VASP calculation (GGA-PBE) on Nd14DyY after structural relaxation.

abc: 7.3373 7.3373 10.3621
angles: 90.00 90.00 90.00
Last column: nearest neighbours and their distance in Å.
Space group P4/mmm (No. 123)
Inequivalent atoms, fractional coordinates:
Nd: 0.0000 0.0000 0.0000 (multiplicity 1)  12 Nd 3.67-3.68
Nd: 0.0000 0.5000 0.0000 (multiplicity 2)  12 Nd 3.67-3.68
Nd: 0.0000 0.5000 0.5000 (multiplicity 2)  8 Nd 3.65, 2 Dy 3.67, 2 Y 3.67
Nd: 0.2497 0.2497 0.2518 (multiplicity 8)  1 Dy 3.65, 10 Nd 3.65-3.68, 1 Y 3.66
Nd: 0.5000 0.5000 0.0000 (multiplicity 1)  12 Nd 3.67-3.68
Dy: 0.0000 0.0000 0.5000 (multiplicity 1)  12 Nd 3.65-3.67
Y: 0.5000 0.5000 0.5000 (multiplicity 1)  12 Nd 3.66-3.67

Calculated values
magnetization: 0.0 μB/cell
crystal system: tetragonal
raw total energy: -77.60 eV per formula unit

***

(2)
VASP calculation (GGA-PBE) on CdNiW2 after structural relaxation.

abc: 3.2565 3.2565 6.1009
angles: 90.00 90.00 90.00
Last column: nearest neighbours and their distance in Å.
Space group P4/mmm (No. 123)
Inequivalent atoms, fractional coordinates:
Cd: 0.0000 0.0000 0.0000 (multiplicity 1)  8 W 2.95, 2 Ni 3.05, 4 Cd 3.26
Ni: 0.0000 0.0000 0.5000 (multiplicity 1)  8 W 2.60
W: 0.5000 0.5000 0.3019 (multiplicity 2)  1 W 2.42, 4 Ni 2.60

Calculated values
magnetization: 0.0 μB/cell
crystal system: tetragonal
raw total energy: -30.30 eV per formula unit

***

(3)
VASP calculation (GGA-PBE) on RePNO2 after structural relaxation.

abc: 3.1120 3.1120 6.6243
angles: 90.00 90.00 90.00
Last column: nearest neighbours and their distance in Å.
Space group P4/mmm (No. 123)
Inequivalent atoms, fractional coordinates:
Re: 0.0000 0.0000 0.0000 (multiplicity 1)  4 N 2.20
P: 0.5000 0.5000 0.5000 (multiplicity 1)  4 O 1.56
N: 0.5000 0.5000 0.0000 (multiplicity 1)  4 Re 2.20
O: 0.0000 0.5000 0.5000 (multiplicity 2)  2 P 1.56

Calculated values
uncorrected formation energy: 336 meV per atom
magnetization: 1.1 μB/cell
crystal system: tetragonal
raw total energy: -34.42 eV per formula unit

***

(4)
VASP calculation (GGA-PBE) on PWS2Cl after structural relaxation.

abc: 4.5265 4.5265 4.4546
angles: 90.00 90.00 90.00
Last column: nearest neighbours and their distance in Å.
Space group P4/mmm (No. 123)
Inequivalent atoms, fractional coordinates:
P: 0.0000 0.0000 0.0000 (multiplicity 1)  2 Cl 2.23
W: 0.5000 0.5000 0.0000 (multiplicity 1)  8 S 3.18, 4 P 3.20
S: 0.0000 0.5000 0.5000 (multiplicity 2)  2 Cl 2.26
Cl: 0.0000 0.0000 0.5000 (multiplicity 1)  2 P 2.23, 4 S 2.26

Calculated values
uncorrected formation energy: 1753 meV per atom
magnetization: 1.9 μB/cell
distance to the lowest polymorph of the same formula: 7.75 eV per formula unit
crystal system: tetragonal
raw total energy: -19.70 eV per formula unit

***

(5)
VASP calculation (GGA-PBE) on AcThCdAu after structural relaxation.

abc: 7.7549 7.7549 7.7549
angles: 90.00 90.00 90.00
Last column: nearest neighbours and their distance in Å.
Space group F-43m (No. 216)
Inequivalent atoms, fractional coordinates:
Ac: 0.0000 0.0000 0.0000 (multiplicity 4)  4 Cd 3.36, 4 Au 3.36
Th: 0.0000 0.0000 0.5000 (multiplicity 4)  4 Cd 3.36, 4 Au 3.36
Cd: 0.2500 0.2500 0.2500 (multiplicity 4)  4 Ac 3.36, 4 Th 3.36
Au: 0.2500 0.2500 0.7500 (multiplicity 4)  4 Ac 3.36, 4 Th 3.36

Calculated values
magnetization: 2.2 μB/cell
crystal system: cubic
raw total energy: -16.98 eV per formula unit

***

(6)
VASP calculation (GGA-PBE) on KRbOF2 after structural relaxation.

abc: 5.0138 5.0138 4.9698
angles: 90.00 90.00 90.00
Last column: nearest neighbours and their distance in Å.
Space group P4/mmm (No. 123)
Inequivalent atoms, fractional coordinates:
K: 0.0000 0.0000 0.0000 (multiplicity 1)  2 O 2.48, 4 F 2.51
Rb: 0.5000 0.5000 0.5000 (multiplicity 1)  8 F 3.53, 4 O 3.55
O: 0.0000 0.0000 0.5000 (multiplicity 1)  2 K 2.48
F: 0.0000 0.5000 0.0000 (multiplicity 2)  2 K 2.51

Calculated values
uncorrected formation energy: -1363 meV per atom
magnetization: 2.0 μB/cell
distance to the lowest polymorph of the same formula: 0.00 eV per formula unit
crystal system: tetragonal
raw total energy: -17.58 eV per formula unit